No. 1
First-principles (PBE) data for Nd3SmDy2As6 after structural relaxation, as listed in Alexandria via LeMat-Bulk.

Unit cell a=7.2966 b=7.2966 c=7.2947 alpha=99.59 beta=99.59 gamma=119.99
Closest atoms and distances in Å follow each position.
Element x y z (fractional)
Nd 0.0000 0.0000 0.0000  6 As 2.99-3.02
Nd 0.3340 0.6660 0.0000  6 As 3.00-3.02
Nd 0.6660 0.3340 0.0000  6 As 3.00-3.02
Sm 0.5000 0.5000 0.5000  6 As 2.97
Dy 0.1669 0.8331 0.5000  6 As 2.94
Dy 0.8331 0.1669 0.5000  6 As 2.94
As 0.0826 0.4190 0.2572  2 Dy 2.94, 1 Sm 2.97, 3 Nd 3.00-3.02
As 0.2442 0.2442 0.7422  2 Dy 2.94, 1 Sm 2.97, 3 Nd 2.99-3.01
As 0.4190 0.0826 0.2572  2 Dy 2.94, 1 Sm 2.97, 3 Nd 3.00-3.02
As 0.5810 0.9174 0.7428  2 Dy 2.94, 1 Sm 2.97, 3 Nd 3.00-3.02
As 0.7558 0.7558 0.2578  2 Dy 2.94, 1 Sm 2.97, 3 Nd 2.99-3.01
As 0.9174 0.5810 0.7428  2 Dy 2.94, 1 Sm 2.97, 3 Nd 3.00-3.02

Computed properties:
- energy relative to the elements (meV per atom) = -1518
- symmetry = C2/m (12)

No. 2
First-principles (PBE) data for NdSm3Dy2As6 after structural relaxation, as listed in Alexandria via LeMat-Bulk.

Unit cell a=7.2628 b=7.2628 c=7.2632 alpha=99.59 beta=99.59 gamma=119.99
Closest atoms and distances in Å follow each position.
Element x y z (fractional)
Nd 0.0000 0.0000 0.0000  6 As 2.98-2.99
Sm 0.1655 0.8345 0.5000  6 As 2.96-2.99
Sm 0.5000 0.5000 0.5000  6 As 2.95-2.99
Sm 0.8345 0.1655 0.5000  6 As 2.96-2.99
Dy 0.3330 0.6670 0.0000  6 As 2.94
Dy 0.6670 0.3330 0.0000  6 As 2.94
As 0.0826 0.4209 0.2475  2 Dy 2.94, 3 Sm 2.96-2.99, 1 Nd 2.99
As 0.2562 0.2562 0.7534  2 Dy 2.94, 3 Sm 2.95-2.98, 1 Nd 2.98
As 0.4209 0.0826 0.2475  2 Dy 2.94, 3 Sm 2.96-2.99, 1 Nd 2.99
As 0.5791 0.9174 0.7525  2 Dy 2.94, 3 Sm 2.96-2.99, 1 Nd 2.99
As 0.7438 0.7438 0.2466  2 Dy 2.94, 3 Sm 2.95-2.98, 1 Nd 2.98
As 0.9174 0.5791 0.7525  2 Dy 2.94, 3 Sm 2.96-2.99, 1 Nd 2.99

Computed properties:
- energy relative to the elements (meV per atom) = -1523
- symmetry = C2/m (12)

No. 3
First-principles (PBE) data for Nd2Sm3DyAs6 after structural relaxation, as listed in Alexandria via LeMat-Bulk.

Unit cell a=9.4320 b=9.4320 c=8.4359 alpha=102.94 beta=102.94 gamma=25.86
Closest atoms and distances in Å follow each position.
Element x y z (fractional)
Nd 0.1658 0.1658 0.3322  6 As 2.99-3.01
Nd 0.8342 0.8342 0.6678  6 As 2.99-3.01
Sm 0.1671 0.1671 0.8340  6 As 2.97-3.01
Sm 0.5000 0.5000 0.5000  6 As 2.97-3.01
Sm 0.8329 0.8329 0.1660  6 As 2.97-3.01
Dy 0.5000 0.5000 0.0000  6 As 2.95-2.96
As 0.0013 0.0013 0.7548  2 Dy 2.96, 3 Sm 2.97-3.01, 1 Nd 2.99
As 0.3340 0.3340 0.4147  3 Sm 2.97, 3 Nd 3.00-3.01
As 0.3351 0.3351 0.9200  1 Dy 2.95, 3 Sm 2.97-3.01, 2 Nd 2.99
As 0.6649 0.6649 0.0800  1 Dy 2.95, 3 Sm 2.97-3.01, 2 Nd 2.99
As 0.6660 0.6660 0.5853  3 Sm 2.97, 3 Nd 3.00-3.01
As 0.9987 0.9987 0.2452  2 Dy 2.96, 3 Sm 2.97-3.01, 1 Nd 2.99

Computed properties:
- energy relative to the elements (meV per atom) = -1519
- symmetry = C2/m (12)

No. 4
First-principles (PBE) data for Nd2SmDyAs4 after structural relaxation, as listed in Alexandria via LeMat-Bulk.

Unit cell a=7.3070 b=4.2233 c=7.3091 alpha=90.00 beta=109.47 gamma=90.00
Closest atoms and distances in Å follow each position.
Element x y z (fractional)
Nd 0.0000 0.0000 0.0000  6 As 3.00
Nd 0.0000 0.5000 0.5000  6 As 3.02
Sm 0.5000 0.0000 0.5000  6 As 2.97
Dy 0.5000 0.5000 0.0000  6 As 2.95
As 0.2555 0.5000 0.2491  1 Dy 2.95, 2 Sm 2.97, 3 Nd 3.00-3.02
As 0.2573 0.0000 0.7550  2 Dy 2.95, 1 Sm 2.97, 3 Nd 3.00-3.02
As 0.7427 0.0000 0.2450  2 Dy 2.95, 1 Sm 2.97, 3 Nd 3.00-3.02
As 0.7445 0.5000 0.7509  1 Dy 2.95, 2 Sm 2.97, 3 Nd 3.00-3.02

Computed properties:
- energy relative to the elements (meV per atom) = -1518
- symmetry = P2/m (10)

No. 5
First-principles (PBE) data for Tb2NdDyAs4 after structural relaxation, as listed in Alexandria via LeMat-Bulk.

Unit cell a=7.2180 b=4.1705 c=7.2185 alpha=90.00 beta=109.47 gamma=90.00
Closest atoms and distances in Å follow each position.
Element x y z (fractional)
Tb 0.0000 0.0000 0.0000  6 As 2.95
Tb 0.5000 0.5000 0.0000  6 As 2.91-2.92
Nd 0.0000 0.5000 0.5000  6 As 2.98
Dy 0.5000 0.0000 0.5000  6 As 2.94
As 0.2535 0.5000 0.2481  3 Tb 2.91-2.95, 2 Dy 2.94, 1 Nd 2.98
As 0.2559 0.0000 0.7550  3 Tb 2.92-2.95, 1 Dy 2.94, 2 Nd 2.98
As 0.7441 0.0000 0.2450  3 Tb 2.92-2.95, 1 Dy 2.94, 2 Nd 2.98
As 0.7465 0.5000 0.7519  3 Tb 2.91-2.95, 2 Dy 2.94, 1 Nd 2.98

Computed properties:
- energy relative to the elements (meV per atom) = -1527
- symmetry = P2/m (10)

No. 6
First-principles (PBE) data for Tb2NdDy3As6 after structural relaxation, as listed in Alexandria via LeMat-Bulk.

Unit cell a=7.1910 b=7.1910 c=7.1904 alpha=99.59 beta=99.59 gamma=119.99
Closest atoms and distances in Å follow each position.
Element x y z (fractional)
Tb 0.1670 0.8330 0.0000  6 As 2.94
Tb 0.8330 0.1670 0.0000  6 As 2.94
Nd 0.5000 0.5000 0.0000  6 As 2.98
Dy 0.0000 0.0000 0.5000  6 As 2.90-2.93
Dy 0.3344 0.6656 0.5000  6 As 2.90-2.93
Dy 0.6656 0.3344 0.5000  6 As 2.90-2.93
As 0.0775 0.4152 0.7458  3 Dy 2.90-2.93, 2 Tb 2.94, 1 Nd 2.98
As 0.2468 0.2468 0.2535  3 Dy 2.90-2.93, 2 Tb 2.94, 1 Nd 2.98
As 0.4152 0.0775 0.7458  3 Dy 2.90-2.93, 2 Tb 2.94, 1 Nd 2.98
As 0.5848 0.9225 0.2542  3 Dy 2.90-2.93, 2 Tb 2.94, 1 Nd 2.98
As 0.7532 0.7532 0.7465  3 Dy 2.90-2.93, 2 Tb 2.94, 1 Nd 2.98
As 0.9225 0.5848 0.2542  3 Dy 2.90-2.93, 2 Tb 2.94, 1 Nd 2.98

Computed properties:
- energy relative to the elements (meV per atom) = -1530
- symmetry = C2/m (12)

No. 7
First-principles (PBE) data for Tb3NdDy2As6 after structural relaxation, as listed in Alexandria via LeMat-Bulk.

Unit cell a=7.1970 b=7.1970 c=7.1968 alpha=99.59 beta=99.59 gamma=119.99
Closest atoms and distances in Å follow each position.
Element x y z (fractional)
Tb 0.0000 0.0000 0.0000  6 As 2.90-2.94
Tb 0.3345 0.6655 0.0000  6 As 2.91-2.95
Tb 0.6655 0.3345 0.0000  6 As 2.91-2.95
Nd 0.5000 0.5000 0.5000  6 As 2.97-2.98
Dy 0.1670 0.8330 0.5000  6 As 2.93
Dy 0.8330 0.1670 0.5000  6 As 2.93
As 0.0776 0.4159 0.2479  3 Tb 2.91-2.95, 2 Dy 2.93, 1 Nd 2.98
As 0.2453 0.2453 0.7513  3 Tb 2.90-2.94, 2 Dy 2.93, 1 Nd 2.97
As 0.4159 0.0776 0.2479  3 Tb 2.91-2.95, 2 Dy 2.93, 1 Nd 2.98
As 0.5841 0.9224 0.7521  3 Tb 2.91-2.95, 2 Dy 2.93, 1 Nd 2.98
As 0.7547 0.7547 0.2487  3 Tb 2.90-2.94, 2 Dy 2.93, 1 Nd 2.97
As 0.9224 0.5841 0.7521  3 Tb 2.91-2.95, 2 Dy 2.93, 1 Nd 2.98

Computed properties:
- energy relative to the elements (meV per atom) = -1530
- symmetry = C2/m (12)

No. 8
First-principles (PBE) data for Nd3DyTh2As6 after structural relaxation, as listed in Alexandria via LeMat-Bulk.

Unit cell a=9.4937 b=9.4937 c=8.4802 alpha=103.06 beta=103.06 gamma=25.85
Closest atoms and distances in Å follow each position.
Element x y z (fractional)
Nd 0.0000 0.0000 0.0000  6 As 3.02-3.04
Nd 0.3339 0.3339 0.6656  6 As 3.00-3.06
Nd 0.6661 0.6661 0.3344  6 As 3.00-3.06
Dy 0.0000 0.0000 0.5000  6 As 2.96
Th 0.3352 0.3352 0.1698  6 As 2.96-3.01
Th 0.6648 0.6648 0.8302  6 As 2.96-3.01
As 0.1642 0.1642 0.5839  1 Dy 2.96, 2 Th 2.98, 3 Nd 3.00-3.06
As 0.1678 0.1678 0.0813  3 Th 3.00-3.01, 3 Nd 3.02
As 0.4996 0.4996 0.2562  1 Th 2.96, 2 Dy 2.96, 3 Nd 3.00-3.04
As 0.5004 0.5004 0.7438  1 Th 2.96, 2 Dy 2.96, 3 Nd 3.00-3.04
As 0.8322 0.8322 0.9187  3 Th 3.00-3.01, 3 Nd 3.02
As 0.8358 0.8358 0.4161  1 Dy 2.96, 2 Th 2.98, 3 Nd 3.00-3.06

Computed properties:
- energy relative to the elements (meV per atom) = -1496
- symmetry = C2/m (12)

No. 9
First-principles (PBE) data for NdDy2ThAs4 after structural relaxation, as listed in Alexandria via LeMat-Bulk.

Unit cell a=7.2395 b=4.1985 c=7.2653 alpha=90.00 beta=109.48 gamma=90.00
Closest atoms and distances in Å follow each position.
Element x y z (fractional)
Nd 0.0000 0.0000 0.0000  6 As 3.00
Dy 0.5000 0.0000 0.5000  6 As 2.92-2.93
Dy 0.5000 0.5000 0.0000  6 As 2.94
Th 0.0000 0.5000 0.5000  6 As 2.98-2.99
As 0.2578 0.0000 0.7513  3 Dy 2.92-2.94, 2 Th 2.99, 1 Nd 3.00
As 0.2582 0.5000 0.2547  3 Dy 2.93-2.94, 1 Th 2.98, 2 Nd 3.00
As 0.7422 0.0000 0.2487  3 Dy 2.92-2.94, 2 Th 2.99, 1 Nd 3.00
As 0.7418 0.5000 0.7453  3 Dy 2.93-2.94, 1 Th 2.98, 2 Nd 3.00

Computed properties:
- energy relative to the elements (meV per atom) = -1513
- symmetry = P2/m (10)

No. 10
First-principles (PBE) data for NdDy3Th2As6 after structural relaxation, as listed in Alexandria via LeMat-Bulk.

Unit cell a=9.3610 b=9.3610 c=8.3625 alpha=102.67 beta=102.67 gamma=25.93
Closest atoms and distances in Å follow each position.
Element x y z (fractional)
Nd 0.0000 0.0000 0.0000  6 As 3.00-3.01
Dy 0.0000 0.0000 0.5000  6 As 2.92-2.94
Dy 0.3345 0.3345 0.1662  6 As 2.92-2.94
Dy 0.6655 0.6655 0.8338  6 As 2.92-2.94
Th 0.3345 0.3345 0.6690  6 As 2.97-3.01
Th 0.6655 0.6655 0.3310  6 As 2.97-3.01
As 0.1654 0.1654 0.5871  3 Dy 2.94, 3 Th 3.00-3.01
As 0.1691 0.1691 0.0798  3 Dy 2.93-2.94, 2 Th 2.98, 1 Nd 3.01
As 0.4987 0.4987 0.2563  3 Dy 2.92, 1 Th 2.97, 2 Nd 3.00
As 0.5013 0.5013 0.7437  3 Dy 2.92, 1 Th 2.97, 2 Nd 3.00
As 0.8309 0.8309 0.9202  3 Dy 2.93-2.94, 2 Th 2.98, 1 Nd 3.01
As 0.8346 0.8346 0.4129  3 Dy 2.94, 3 Th 3.00-3.01

Computed properties:
- energy relative to the elements (meV per atom) = -1497
- symmetry = C2/m (12)